The following is a DFT calculation (GGA-PBE) of crystalline Mg2NpO4 at its relaxed geometry.

a b c (Å): 5.972 5.972 5.972
angles (deg): 110.07 110.07 108.28
Positions (direct):
Mg1 0.000 0.000 0.000
Mg2 0.000 0.000 0.500
Mg3 0.000 0.500 0.000
Mg4 0.500 0.000 0.500
Np1 0.375 0.625 0.750
Np2 0.625 0.375 0.250
O1 0.148 0.707 0.440
O2 0.233 0.293 0.940
O3 0.293 0.233 0.440
O4 0.293 0.852 0.060
O5 0.707 0.148 0.940
O6 0.707 0.767 0.560
O7 0.767 0.707 0.060
O8 0.852 0.293 0.560

Summary:
The calculation puts the total energy at -7.8457 eV per atom. The calculation puts the formation energy (no corrections) at -1829 kJ/mol of formula units. The calculation puts the density of states at the Fermi level at 12.15 states/eV per cell. The magnetization is 3.00 μB/f.u.